# 1
# CsGaAsAu2 | the Alexandria database | PBE-GGA | relaxed
# - E_form: 1376 meV per atom
# - V: 263.81 Å³/cell
# - Total moment: 2.60 Bohr magnetons per cell
data_CsGaAsAu2
_cell_length_a 6.224
_cell_length_b 6.224
_cell_length_c 6.810
_cell_angle_alpha 90.00
_cell_angle_beta 90.00
_cell_angle_gamma 90.00
_space_group_name_H-M_alt 'P 1'
_space_group_IT_number 1
_space_group_name_Hall 'P 1'
loop_
_atom_site_label
_atom_site_type_symbol
_atom_site_fract_x
_atom_site_fract_y
_atom_site_fract_z
Cs1 Cs 0.000 0.000 0.000
Ga1 Ga 0.000 0.000 0.500
As1 As 0.500 0.500 0.500
Au1 Au 0.000 0.500 0.000
Au2 Au 0.500 0.000 0.000


# 2
# CsGaAs2Au | the Alexandria database | PBE-GGA | relaxed
# - E_form: -315 meV per atom
# - V: 299.27 Å³/cell
# - Total moment: 0.00 Bohr magnetons per cell
data_CsGaAs2Au
_cell_length_a 7.061
_cell_length_b 7.061
_cell_length_c 6.967
_cell_angle_alpha 90.00
_cell_angle_beta 90.00
_cell_angle_gamma 120.51
_space_group_name_H-M_alt 'P 1'
_space_group_IT_number 1
_space_group_name_Hall 'P 1'
loop_
_atom_site_label
_atom_site_type_symbol
_atom_site_fract_x
_atom_site_fract_y
_atom_site_fract_z
Cs1 Cs 0.250 0.750 0.764
Cs2 Cs 0.750 0.250 0.236
Ga1 Ga 0.250 0.250 0.500
Ga2 Ga 0.750 0.750 0.500
As1 As 0.101 0.899 0.309
As2 As 0.399 0.601 0.309
As3 As 0.601 0.399 0.691
As4 As 0.899 0.101 0.691
Au1 Au 0.000 0.000 0.000
Au2 Au 0.500 0.500 0.000


# 3
# Cs2GeAsAu6 | the Alexandria database | PBE-GGA | relaxed
# - E_form: -140 meV per atom
# - V: 279.15 Å³/cell
# - Total moment: 0.00 Bohr magnetons per cell
data_Cs2GeAsAu6
_cell_length_a 7.320
_cell_length_b 7.320
_cell_length_c 7.313
_cell_angle_alpha 119.54
_cell_angle_beta 119.54
_cell_angle_gamma 90.73
_space_group_name_H-M_alt 'P 1'
_space_group_IT_number 1
_space_group_name_Hall 'P 1'
loop_
_atom_site_label
_atom_site_type_symbol
_atom_site_fract_x
_atom_site_fract_y
_atom_site_fract_z
Cs1 Cs 0.250 0.750 0.000
Cs2 Cs 0.750 0.250 0.000
Ge1 Ge 0.000 0.000 0.500
As1 As 0.500 0.500 0.500
Au1 Au 0.248 0.248 0.500
Au2 Au 0.248 0.248 0.995
Au3 Au 0.248 0.752 0.500
Au4 Au 0.752 0.248 0.500
Au5 Au 0.752 0.752 0.005
Au6 Au 0.752 0.752 0.500


# 4
# Cs2AsHAu | the Alexandria database | PBE-GGA | relaxed
# - Uncorrected energy: -13.20 eV per cell
# - V: 161.06 Å³/cell
# - Total moment: 0.29 Bohr magnetons per cell
data_Cs2AsHAu
_cell_length_a 6.614
_cell_length_b 6.614
_cell_length_c 3.682
_cell_angle_alpha 90.00
_cell_angle_beta 90.00
_cell_angle_gamma 90.00
_space_group_name_H-M_alt 'P 1'
_space_group_IT_number 1
_space_group_name_Hall 'P 1'
loop_
_atom_site_label
_atom_site_type_symbol
_atom_site_fract_x
_atom_site_fract_y
_atom_site_fract_z
Cs1 Cs 0.000 0.500 0.000
Cs2 Cs 0.500 0.000 0.000
As1 As 0.000 0.000 0.500
H1 H 0.000 0.000 0.000
Au1 Au 0.500 0.500 0.500